(1)
A plane-wave DFT calculation with meta-GGA SCAN was carried out for a PBEsol-optimized structure of LiTlPt2.

Unit cell a=3.9178 b=4.0178 c=4.0178 alpha=90.00 beta=90.00 gamma=90.00
Fractional positions:
Tl 0.5000 0.5000 0.5000
Pt 0.0000 0.0000 0.5000
Pt 0.0000 0.5000 0.0000
Li 0.5000 0.0000 0.0000

Calculated formation energy, eV/atom: -0.368
Total magnetization, μB per formula unit: 0.0

***

(2)
A plane-wave DFT calculation with meta-GGA SCAN was carried out for a PBEsol-optimized structure of LiTlPt2.

Unit cell a=2.9198 b=3.8104 c=5.7355 alpha=90.00 beta=90.00 gamma=90.00
Fractional positions:
Tl 0.5000 0.5000 0.0000
Pt 0.0000 0.0000 0.2676
Pt 0.0000 0.0000 0.7324
Li 0.5000 0.5000 0.5000

Calculated formation energy, eV/atom: -0.269
Total magnetization, μB per formula unit: 0.0